No. 1
A geometry-optimized PrEr5Hg6 structure. Source: Alexandria via LeMat-Bulk, functional PBE.

DFT formation energy = -0.4695 eV/atom
total energy = -35.04 eV per cell
space-group type = No. 71
spin magnetization = 0.8 μB/f.u.

Unit cell a=9.096 b=9.096 c=9.096 alpha=146.64 beta=131.11 gamma=60.48
Atoms (fractional coordinates):
Pr: 0.000 0.000 0.000
Er: 0.163 0.663 0.500
Er: 0.331 0.331 0.000
Er: 0.500 0.000 0.500
Er: 0.669 0.669 0.000
Er: 0.837 0.337 0.500
Hg: 0.090 0.829 0.261
Hg: 0.269 0.500 0.769
Hg: 0.432 0.171 0.261
Hg: 0.568 0.829 0.739
Hg: 0.731 0.500 0.231
Hg: 0.910 0.171 0.739

***

No. 2
A geometry-optimized PrEr6Hg2 structure. Source: Alexandria via LeMat-Bulk, functional PBE.

DFT formation energy = -0.1972 eV/atom
total energy = -34.54 eV per cell
space-group type = No. 12
spin magnetization = 0.0 μB/f.u.

Unit cell a=6.561 b=6.561 c=11.815 alpha=107.54 beta=107.54 gamma=32.82
Atoms (fractional coordinates):
Pr: 0.000 0.000 0.000
Er: 0.014 0.014 0.341
Er: 0.312 0.312 0.125
Er: 0.313 0.313 0.418
Er: 0.687 0.687 0.582
Er: 0.688 0.688 0.875
Er: 0.986 0.986 0.659
Hg: 0.349 0.349 0.779
Hg: 0.651 0.651 0.221

***

No. 3
A geometry-optimized Pr5ErHg6 structure. Source: Alexandria via LeMat-Bulk, functional PBE.

DFT formation energy = -0.4673 eV/atom
total energy = -35.88 eV per cell
space-group type = No. 10
spin magnetization = 2.5 μB/f.u.

Unit cell a=5.406 b=7.700 c=8.575 alpha=90.00 beta=108.23 gamma=90.00
Atoms (fractional coordinates):
Pr: 0.000 0.000 0.000
Pr: 0.330 0.000 0.661
Pr: 0.333 0.500 0.667
Pr: 0.667 0.500 0.333
Pr: 0.670 0.000 0.339
Er: 0.000 0.500 0.000
Hg: 0.161 0.257 0.322
Hg: 0.161 0.743 0.322
Hg: 0.500 0.261 0.000
Hg: 0.500 0.739 0.000
Hg: 0.839 0.257 0.678
Hg: 0.839 0.743 0.678

***

No. 4
A geometry-optimized Pr3ErHg12 structure. Source: Alexandria via LeMat-Bulk, functional PBE.

DFT formation energy = -0.3363 eV/atom
total energy = -27.90 eV per cell
space-group type = No. 123
spin magnetization = 0.0 μB/f.u.

Unit cell a=4.692 b=4.692 c=18.816 alpha=90.00 beta=90.00 gamma=90.00
Atoms (fractional coordinates):
Pr: 0.000 0.000 0.000
Pr: 0.000 0.000 0.256
Pr: 0.000 0.000 0.744
Er: 0.000 0.000 0.500
Hg: 0.000 0.500 0.127
Hg: 0.000 0.500 0.381
Hg: 0.000 0.500 0.619
Hg: 0.000 0.500 0.873
Hg: 0.500 0.000 0.127
Hg: 0.500 0.000 0.381
Hg: 0.500 0.000 0.619
Hg: 0.500 0.000 0.873
Hg: 0.500 0.500 0.000
Hg: 0.500 0.500 0.255
Hg: 0.500 0.500 0.500
Hg: 0.500 0.500 0.745

***

No. 5
A geometry-optimized Pr2Er2Hg structure. Source: Alexandria via LeMat-Bulk, functional PBE.

DFT formation energy = -0.1394 eV/atom
total energy = -39.37 eV per cell
space-group type = No. 12
spin magnetization = 0.0 μB/f.u.

Unit cell a=6.384 b=6.384 c=9.062 alpha=103.83 beta=103.83 gamma=108.74
Atoms (fractional coordinates):
Pr: 0.206 0.206 0.410
Pr: 0.210 0.210 0.000
Pr: 0.790 0.790 0.000
Pr: 0.794 0.794 0.590
Er: 0.192 0.602 0.794
Er: 0.398 0.808 0.206
Er: 0.602 0.192 0.794
Er: 0.808 0.398 0.206
Hg: 0.250 0.750 0.500
Hg: 0.750 0.250 0.500

***

No. 6
A geometry-optimized PrErHg structure. Source: Alexandria via LeMat-Bulk, functional PBE.

DFT formation energy = -0.1997 eV/atom
total energy = -10.24 eV per cell
space-group type = No. 156
spin magnetization = 0.0 μB/f.u.

Unit cell a=5.151 b=5.151 c=3.924 alpha=90.00 beta=90.00 gamma=120.00
Atoms (fractional coordinates):
Pr: 0.000 0.000 0.000
Er: 0.667 0.333 0.500
Hg: 0.333 0.667 0.498

***

No. 7
A geometry-optimized Pr2ErHg2 structure. Source: Alexandria via LeMat-Bulk, functional PBE.

DFT formation energy = -0.2988 eV/atom
total energy = -16.22 eV per cell
space-group type = No. 71
spin magnetization = 0.0 μB/f.u.

Unit cell a=6.601 b=6.601 c=6.601 alpha=144.19 beta=112.53 gamma=78.80
Atoms (fractional coordinates):
Pr: 0.211 0.211 0.000
Pr: 0.789 0.789 0.000
Er: 0.500 0.000 0.500
Hg: 0.206 0.500 0.706
Hg: 0.794 0.500 0.294

***

No. 8
A geometry-optimized PrErHg4 structure. Source: Alexandria via LeMat-Bulk, functional PBE.

DFT formation energy = -0.2142 eV/atom
total energy = -11.83 eV per cell
space-group type = No. 47
spin magnetization = 0.0 μB/f.u.

Unit cell a=4.542 b=4.552 c=8.681 alpha=90.00 beta=90.00 gamma=90.00
Atoms (fractional coordinates):
Pr: 0.000 0.000 0.000
Er: 0.500 0.500 0.500
Hg: 0.000 0.500 0.263
Hg: 0.000 0.500 0.737
Hg: 0.500 0.000 0.264
Hg: 0.500 0.000 0.736